VASP calculation (PBEsol) on crystalline ErInPt4 at its relaxed geometry.

Structure (extended XYZ):
```
6
Lattice="-2.5871 -4.6348 -0.1713 -1.0674 -2.2738 -4.6791 2.5627 -4.4194 -1.4508" Properties=species:S:1:pos:R:3 pbc="T T T"
In -0.8188 -8.4960 -4.7259
Pt -1.7001 -6.5632 -2.4504
Pt -0.4098 -4.2515 -2.3649
Pt -0.9421 -5.3856 -4.6987
Pt 0.8684 -6.4558 -3.0885
Er 0.0000 0.0000 0.0000
```

formation energy from the elements = -798 meV per atom
final energy = -0.2484 hartree per atom

---

VASP calculation (PBEsol) on crystalline Zr2HgTe2 at its relaxed geometry.

Structure (extended XYZ):
```
5
Lattice="-0.2690 -2.3263 -4.3664 0.6635 -4.3503 2.2768 -5.9208 2.8000 1.6842" Properties=species:S:1:pos:R:3 pbc="T T T"
Te -2.5300 -2.4443 1.4581
Te -2.9963 -1.4323 -1.8635
Hg 0.0000 0.0000 0.0000
Zr -4.2925 -0.4037 0.4796
Zr -1.2337 -3.4729 -0.8849
```

ΔE_f (raw) = -0.095 eV/atom
final energy = -0.1931 hartree per atom

---

VASP calculation (PBEsol) on crystalline KCdAg2 at its relaxed geometry.

Structure (extended XYZ):
```
4
Lattice="-1.7557 2.5802 -0.0390 -1.9933 0.4959 -2.3500 -8.5800 -3.8842 4.3851" Properties=species:S:1:pos:R:3 pbc="T T T"
Ag -8.3481 -3.7288 4.2211
Ag -9.2932 -0.6371 1.5299
Cd -6.4192 -0.5746 1.1781
K -3.0131 -0.1557 0.4501
```

relative energy among the computed polymorphs = 116 meV/atom
formation energy from the elements = 241 meV per atom
final energy = -0.0734 hartree per atom